First-principles (PBE-GGA) data for a relaxed structure of LaHf2IrI, as listed in the Alexandria database.

POSCAR file:
```
LaHf2IrI
1.0
-4.701 -0.203 -1.736
0.833 -5.530 -1.608
-1.594 -1.548 4.497
I Ir Hf La
1 1 2 1
direct
0.000 0.500 0.000 I
0.000 0.000 0.000 Ir
0.000 0.000 0.500 Hf
0.500 0.000 0.000 Hf
0.500 0.500 0.500 La
```

Output
total magnetization	1.1	μB per formula unit
symmetry	P4/mmm
density	9.245	g cm⁻³
formation energy from raw total energies	126	kJ/mol of formula units